[1]
DFT (PBE) results for an optimized crystal structure of SrTlFe2.

Results
Crystal system = tetragonal
Calculated formation energy = 3.31 eV/f.u.
Electronic total energy = -0.325 Ry/atom

Lattice parameters (Å, degrees): 4.565 4.565 9.801 76.53 76.53 90.00
Atoms (fractional coordinates):
Tl 0.750 0.250 0.500
Tl 0.000 0.000 0.000
Fe 0.875 0.105 0.750
Fe 0.855 0.125 0.250
Fe 0.375 0.145 0.750
Fe 0.895 0.625 0.250
Sr 0.250 0.750 0.500
Sr 0.500 0.500 0.000

=====

[2]
DFT (PBE) results for an optimized crystal structure of SrTlFe3.

Results
Crystal system = cubic
Calculated formation energy = 5.86 eV/f.u.
Electronic total energy = -0.347 Ry/atom

Lattice parameters (Å, degrees): 5.038 5.038 5.038 90.00 90.00 90.00
Atoms (fractional coordinates):
Tl 0.000 0.000 0.000
Fe 0.000 0.000 0.500
Fe 0.000 0.500 0.000
Fe 0.500 0.000 0.000
Sr 0.500 0.500 0.500

=====

[3]
DFT (PBE) results for an optimized crystal structure of SrTlFe2.

Results
Crystal system = tetragonal
Calculated formation energy = 2.27 eV/f.u.
Electronic total energy = -0.344 Ry/atom

Lattice parameters (Å, degrees): 3.672 3.674 6.775 90.00 90.00 90.00
Atoms (fractional coordinates):
Fe 0.000 0.000 0.915
Fe 0.000 0.000 0.585
Sr 0.500 0.500 0.250
Tl 0.500 0.500 0.750

=====

[4]
DFT (PBE) results for an optimized crystal structure of SrTlZnFe2.

Results
Crystal system = tetragonal
Calculated formation energy = 5.57 eV/f.u.
Electronic total energy = -0.245 Ry/atom

Lattice parameters (Å, degrees): 5.051 6.191 5.051 90.00 90.00 90.00
Atoms (fractional coordinates):
Fe 0.500 0.000 0.000
Fe 0.000 0.000 0.500
Sr 0.000 0.500 0.000
Zn 0.500 0.500 0.500
Tl 0.000 0.000 0.000

=====

[5]
DFT (PBE) results for an optimized crystal structure of SrTm2Fe.

Results
Crystal system = trigonal
Calculated formation energy = 1.27 eV/f.u.
Electronic total energy = -0.327 Ry/atom

Lattice parameters (Å, degrees): 3.736 3.736 10.749 79.99 79.99 60.00
Atoms (fractional coordinates):
Sr 0.000 0.000 0.000
Fe 0.500 0.500 0.500
Tm 0.118 0.118 0.647
Tm 0.882 0.882 0.353

=====

[6]
DFT (PBE) results for an optimized crystal structure of SrVFe3.

Results
Crystal system = cubic
Calculated formation energy = 3.85 eV/f.u.
Electronic total energy = -0.475 Ry/atom

Lattice parameters (Å, degrees): 4.529 4.529 4.529 90.00 90.00 90.00
Atoms (fractional coordinates):
Fe 0.000 0.500 0.000
Fe 0.000 0.000 0.500
Fe 0.500 0.000 0.000
Sr 0.500 0.500 0.500
V 0.000 0.000 0.000

=====

[7]
DFT (PBE) results for an optimized crystal structure of Sr2V2Fe.

Results
Crystal system = tetragonal
Calculated formation energy = 6.94 eV/f.u.
Electronic total energy = -0.340 Ry/atom

Lattice parameters (Å, degrees): 4.339 4.339 7.426 73.01 73.01 90.00
Atoms (fractional coordinates):
Sr 0.750 0.250 0.500
Sr 0.250 0.750 0.500
Fe 0.000 0.000 0.000
V 0.567 0.567 0.865
V 0.433 0.433 0.135

=====

[8]
DFT (PBE) results for an optimized crystal structure of Sr2V2Fe.

Results
Crystal system = tetragonal
Calculated formation energy = 6.05 eV/f.u.
Electronic total energy = -0.353 Ry/atom

Lattice parameters (Å, degrees): 9.231 9.231 3.284 90.00 90.00 90.00
Atoms (fractional coordinates):
Sr 0.212 0.288 0.000
Sr 0.788 0.712 0.000
Sr 0.288 0.788 0.000
Sr 0.712 0.212 0.000
V 0.570 0.930 0.500
V 0.930 0.430 0.500
V 0.430 0.070 0.500
V 0.070 0.570 0.500
Fe 0.000 0.000 0.000
Fe 0.500 0.500 0.000

=====

| no. | size of the total moment (μB per cell) |
| --- | --- |
| 1 | 0.30 |
| 2 | 8.75 |
| 3 | 4.94 |
| 4 | 6.34 |
| 5 | 0.65 |
| 6 | 4.91 |
| 7 | 3.13 |
| 8 | 5.48 |